(1)
Here is crystalline In3Hg3Br at its relaxed geometry from the Alexandria database. Energies are from PBE.

Summary:
Total magnetization (μB/cell): 0.0

```
In3Hg3Br
1.0
8.202 0.000 0.000
0.000 8.202 0.000
0.000 0.000 8.202
In Hg Br
6 6 2
direct
0.000 0.250 0.500
0.000 0.750 0.500
0.250 0.500 0.000
0.500 0.000 0.250
0.500 0.000 0.750
0.750 0.500 0.000
0.000 0.500 0.250
0.000 0.500 0.750
0.250 0.000 0.500
0.500 0.250 0.000
0.500 0.750 0.000
0.750 0.000 0.500
0.000 0.000 0.000
0.500 0.500 0.500
```


(2)
Here is crystalline ZrInN2O at its relaxed geometry from the Alexandria database. Energies are from PBE.

Summary:
Total magnetization (μB/cell): 0.0

```
ZrInN2O
1.0
4.304 0.000 0.000
0.000 4.304 0.000
0.000 0.000 4.078
Zr In N O
1 1 2 1
direct
0.000 0.000 0.000
0.500 0.500 0.500
0.000 0.500 0.000
0.500 0.000 0.000
0.000 0.000 0.500
```


(3)
Here is crystalline KNb3F at its relaxed geometry from the Alexandria database. Energies are from PBE.

Summary:
Total magnetization (μB/cell): 0.0
Offset from the most stable computed form (meV per atom): 0.0

```
KNb3F
1.0
4.568 0.000 0.000
0.000 4.568 0.000
0.000 0.000 4.568
K Nb F
1 3 1
direct
0.000 0.000 0.000
0.000 0.500 0.500
0.500 0.000 0.500
0.500 0.500 0.000
0.500 0.500 0.500
```


Asked for raw formation energy across the records above, the calculation gives 0.97 -1.30 4.23 eV per formula unit in order.
Asked for E_tot across the records above, the calculation gives -19.65 -34.19 -28.95 eV per cell in order.
Asked for Fermi-level density of states across the records above, the calculation gives 7.6 3.8 7.3 states/eV per cell in order.